No. 1
NaTe2BrN | PBE-GGA | relaxed

Output
- space-group type = P4/mmm (123)
- magnetization (μB per formula unit) = 1.08

Cell lengths 5.740, 5.740, 4.485 Å; angles 90.00, 90.00, 90.00 degrees
Fractional coordinates of all 5 atoms:
Na (0.000, 0.000, 0.000)
Te (0.000, 0.500, 0.000)
Te (0.500, 0.000, 0.000)
Br (0.500, 0.500, 0.500)
N (0.000, 0.000, 0.500)

No. 2
NbBr2N | PBE-GGA | relaxed

Output
- space-group type = I-42d (122)
- magnetization (μB per formula unit) = 0.00

Cell lengths 6.974, 6.974, 5.826 Å; angles 53.24, 53.24, 90.00 degrees
Fractional coordinates of all 8 atoms:
Nb (0.000, 0.000, 0.000)
Nb (0.750, 0.250, 0.500)
Br (0.625, 0.125, 0.250)
Br (0.125, 0.625, 0.250)
Br (0.375, 0.375, 0.750)
Br (0.875, 0.875, 0.750)
N (0.500, 0.500, 0.000)
N (0.250, 0.750, 0.500)

no.,excess energy over the best structure of this formula in the dataset (eV per formula unit),VASP energy (eV per cell),E_form (uncorrected) (eV/atom)
1,1.52,-11.50,1.2204
2,0.89,-32.71,1.3461